Density functional theory data (PBE-GGA) for a relaxed Zr2BS crystal.

a b c (Å): 3.5211 3.5211 12.3501
angles (deg): 90.00 90.00 120.00
Closest atoms and distances in Å follow each position.
Element x y z (fractional)
B: 0.0000 0.0000 0.0000  6 Zr 2.41
B: 0.0000 0.0000 0.5000  6 Zr 2.41
S: 0.6667 0.3333 0.2500  6 Zr 2.70-2.71
S: 0.3333 0.6667 0.7500  6 Zr 2.70-2.71
Zr: 0.3333 0.6667 0.1055  3 B 2.41
Zr: 0.3333 0.6667 0.3945  3 B 2.41
Zr: 0.6667 0.3333 0.6055  3 B 2.41
Zr: 0.6667 0.3333 0.8945  3 B 2.41

Calculated values
Calculated density, g/cm3: 5.6
Volume, Å³ per cell: 132.6
SG: P6_3/mmc (194)
Size of the total moment, μB/atom: 0.003
Uncorrected energy, eV for the cell shown: -65.5